Record 1
The following is a DFT calculation (GGA-PBE) of a relaxed SnPtCl6 crystal.

Computed properties:
Symmetry: No. 2

Lattice parameters (Å, degrees): 6.288 6.295 6.915 63.73 63.18 60.71
Fractional positions:
Sn1 0.000 0.000 0.000
Pt1 0.500 0.500 0.500
Cl1 0.103 0.457 0.730
Cl2 0.290 0.892 0.273
Cl3 0.459 0.714 0.728
Cl4 0.541 0.286 0.272
Cl5 0.710 0.108 0.727
Cl6 0.897 0.543 0.270


Record 2
The following is a DFT calculation (GGA-PBE) of a relaxed NaSnOs crystal.

Computed properties:
ΔE to the lowest computed polymorph (eV/f.u.): 0.000
Symmetry: No. 216

Lattice parameters (Å, degrees): 4.516 4.516 4.516 60.00 60.00 60.00
Fractional positions:
Na1 0.000 0.000 0.000
Sn1 0.500 0.500 0.500
Os1 0.250 0.250 0.250


Record 3
The following is a DFT calculation (GGA-PBE) of a relaxed Hg2MoAs crystal.

Computed properties:
Symmetry: No. 216

Lattice parameters (Å, degrees): 4.799 4.799 4.799 60.00 60.00 60.00
Fractional positions:
Hg1 0.000 0.000 0.000
Hg2 0.250 0.250 0.250
Mo1 0.750 0.750 0.750
As1 0.500 0.500 0.500


Record 4
The following is a DFT calculation (GGA-PBE) of a relaxed BaTmFe crystal.

Computed properties:
ΔE to the lowest computed polymorph (eV/f.u.): 0.790
Symmetry: No. 216

Lattice parameters (Å, degrees): 5.101 5.101 5.101 60.00 60.00 60.00
Fractional positions:
Ba1 0.000 0.000 0.000
Tm1 0.250 0.250 0.250
Fe1 0.750 0.750 0.750


Record 5
The following is a DFT calculation (GGA-PBE) of a relaxed Rb2Ba2Zn3 crystal.

Computed properties:
Symmetry: No. 160

Lattice parameters (Å, degrees): 10.178 10.178 10.178 33.85 33.85 33.85
Fractional positions:
Rb1 0.000 0.000 0.000
Rb2 0.498 0.498 0.498
Ba1 0.252 0.252 0.252
Ba2 0.745 0.745 0.745
Zn1 0.373 0.373 0.373
Zn2 0.624 0.624 0.624
Zn3 0.875 0.875 0.875


Record 6
The following is a DFT calculation (GGA-PBE) of a relaxed SmFe4Sb12 crystal.

Computed properties:
Symmetry: No. 204

Lattice parameters (Å, degrees): 7.937 7.937 7.937 109.47 109.47 109.47
Fractional positions:
Sm1 0.000 0.000 0.000
Fe1 0.000 0.000 0.500
Fe2 0.000 0.500 0.000
Fe3 0.500 0.000 0.000
Fe4 0.500 0.500 0.500
Sb1 0.162 0.334 0.496
Sb2 0.162 0.666 0.828
Sb3 0.172 0.838 0.334
Sb4 0.334 0.172 0.838
Sb5 0.334 0.496 0.162
Sb6 0.496 0.162 0.334
Sb7 0.504 0.838 0.666
Sb8 0.666 0.504 0.838
Sb9 0.666 0.828 0.162
Sb10 0.828 0.162 0.666
Sb11 0.838 0.334 0.172
Sb12 0.838 0.666 0.504


Number 1: uncorrected energy -3.248 eV per atom. Number 2: uncorrected energy -4.780 eV per atom. Number 3: uncorrected energy -3.293 eV per atom. Number 4: uncorrected energy -3.498 eV per atom. Number 5: uncorrected energy -1.255 eV per atom. Number 6: uncorrected energy -5.329 eV per atom.